{"formula": "Pm2GaF", "functional": "PBE", "state": "optimized geometry", "lattice": [[3.312, 0.000, 0.000], [0.000, 3.312, 0.000], [0.000, 0.000, 7.695]], "species": ["Pm", "Pm", "Ga", "F"], "frac_coords": [[0.000, 0.000, 0.755], [0.000, 0.000, 0.245], [0.500, 0.500, 0.500], [0.500, 0.500, 0.000]], "magnetic_moment_mub_per_fu": 0.0, "polymorph_energy_ev_per_atom": 0.134, "volume_a3_per_atom": 21.10, "n_ef_per_ev_fu": 1.80, "dft_energy_ev_per_atom": -4.8648}

{"formula": "Zn3B", "functional": "PBE", "state": "optimized geometry", "lattice": [[3.695, 0.000, 0.000], [0.000, 3.695, 0.000], [0.000, 0.000, 3.695]], "species": ["Zn", "Zn", "Zn", "B"], "frac_coords": [[0.000, 0.500, 0.500], [0.500, 0.500, 0.000], [0.500, 0.000, 0.500], [0.000, 0.000, 0.000]], "magnetic_moment_mub_per_fu": 0.0, "formation_energy_ev_per_atom": 0.614, "polymorph_energy_ev_per_atom": 0.000, "volume_a3_per_atom": 12.61, "n_ef_per_ev_fu": 0.67, "dft_energy_ev_per_atom": -2.0104}

{"formula": "CdTePd2", "functional": "PBE", "state": "optimized geometry", "lattice": [[4.747, 0.000, 0.000], [2.373, 4.111, 0.000], [2.373, 1.370, 3.876]], "species": ["Pd", "Pd", "Cd", "Te"], "frac_coords": [[0.250, 0.250, 0.250], [0.750, 0.750, 0.750], [0.500, 0.500, 0.500], [0.000, 0.000, 0.000]], "magnetic_moment_mub_per_fu": 0.0, "polymorph_energy_ev_per_atom": 0.095, "volume_a3_per_atom": 18.90, "n_ef_per_ev_fu": 2.63, "dft_energy_ev_per_atom": -3.8328}

{"formula": "Er3SbPt", "functional": "PBE", "state": "optimized geometry", "lattice": [[5.412, 0.000, 0.000], [-2.706, 6.321, -1.236], [0.000, -2.701, 8.558]], "species": ["Er", "Er", "Er", "Er", "Er", "Er", "Pt", "Pt", "Sb", "Sb"], "frac_coords": [[0.159, 0.319, 0.660], [0.608, 0.216, 0.896], [0.897, 0.793, 0.763], [0.392, 0.784, 0.104], [0.103, 0.207, 0.237], [0.841, 0.681, 0.340], [0.855, 0.710, 0.040], [0.145, 0.290, 0.960], [0.627, 0.254, 0.449], [0.373, 0.746, 0.551]], "magnetic_moment_mub_per_fu": 0.0, "volume_a3_per_atom": 27.47, "n_ef_per_ev_fu": 2.74, "dft_energy_ev_per_atom": -5.6163}

{"formula": "Cs3BeCl5", "functional": "PBE", "state": "optimized geometry", "lattice": [[8.243, 0.000, -4.535], [-2.495, 7.856, -4.535], [-0.047, -0.064, 9.673]], "species": ["Cl", "Cl", "Cl", "Cl", "Cl", "Cl", "Cl", "Cl", "Cl", "Cl", "Be", "Be", "Cs", "Cs", "Cs", "Cs", "Cs", "Cs"], "frac_coords": [[0.040, 0.540, 0.331], [0.210, 0.960, 0.669], [0.460, 0.710, 0.669], [0.290, 0.790, 0.331], [0.960, 0.460, 0.669], [0.540, 0.290, 0.331], [0.000, 0.000, 0.000], [0.790, 0.040, 0.331], [0.500, 0.500, 0.000], [0.710, 0.210, 0.669], [0.750, 0.250, 0.500], [0.250, 0.750, 0.500], [0.750, 0.750, 0.500], [0.829, 0.671, 0.000], [0.250, 0.250, 0.500], [0.329, 0.829, 0.000], [0.671, 0.171, 0.000], [0.171, 0.329, 0.000]], "magnetic_moment_mub_per_fu": 0.1, "volume_a3_per_atom": 34.53, "n_ef_per_ev_fu": 0.00, "dft_energy_ev_per_atom": -3.5895}

{"formula": "Ce2ScN", "functional": "PBE", "state": "optimized geometry", "lattice": [[3.335, 0.000, 0.000], [1.668, 2.889, 0.000], [1.668, 0.963, 9.227]], "species": ["Ce", "Ce", "Sc", "N"], "frac_coords": [[0.887, 0.887, 0.340], [0.113, 0.113, 0.660], [0.000, 0.000, 0.000], [0.500, 0.500, 0.500]], "magnetic_moment_mub_per_fu": 0.5, "volume_a3_per_atom": 22.23, "n_ef_per_ev_fu": 8.06, "dft_energy_ev_per_atom": -7.1730}

{"formula": "CuHgTe2", "functional": "PBE", "state": "optimized geometry", "lattice": [[-3.384, 0.269, -3.460], [2.701, -2.305, -2.822], [-1.802, -3.898, 1.459]], "species": ["Hg", "Cu", "Te", "Te"], "frac_coords": [[0.500, 0.000, 0.500], [0.500, 0.500, 0.000], [0.000, 0.000, 0.000], [0.000, 0.500, 0.500]], "magnetic_moment_mub_per_fu": 0.0, "volume_a3_per_atom": 24.93, "n_ef_per_ev_fu": 2.06, "dft_energy_ev_per_atom": -2.2335}

{"formula": "ZrTcTe", "functional": "PBE", "state": "optimized geometry", "lattice": [[-1.411, -0.537, 3.017], [1.161, -2.602, -1.806], [5.776, 0.623, 2.813]], "species": ["Te", "Zr", "Tc"], "frac_coords": [[0.667, 0.333, 0.316], [0.333, 0.667, 0.698], [0.000, 0.000, 0.986]], "magnetic_moment_mub_per_fu": 0.0, "polymorph_energy_ev_per_atom": 0.329, "volume_a3_per_atom": 21.20, "n_ef_per_ev_fu": 2.57, "dft_energy_ev_per_atom": -7.2891}

{"formula": "Sr4CaW", "functional": "PBE", "state": "optimized geometry", "lattice": [[0.000, 5.053, 5.053], [5.053, 0.000, 5.053], [5.053, 5.053, 0.000]], "species": ["Sr", "Sr", "Sr", "Sr", "Ca", "W"], "frac_coords": [[0.873, 0.376, 0.376], [0.376, 0.873, 0.376], [0.376, 0.376, 0.873], [0.376, 0.376, 0.376], [0.000, 0.000, 0.000], [0.750, 0.750, 0.750]], "magnetic_moment_mub_per_fu": 4.0, "formation_energy_ev_per_atom": 1.129, "volume_a3_per_atom": 43.01, "n_ef_per_ev_fu": 3.90, "dft_energy_ev_per_atom": -2.4846}

{"formula": "Ta2AgAu", "functional": "PBE", "state": "optimized geometry", "lattice": [[-2.120, 0.603, 1.804], [1.375, -1.380, 2.078], [4.080, 7.506, 2.285]], "species": ["Ta", "Ta", "Ag", "Au"], "frac_coords": [[0.000, 0.000, 0.996], [0.500, 0.500, 0.249], [0.000, 0.000, 0.500], [0.500, 0.500, 0.755]], "magnetic_moment_mub_per_fu": 0.0, "formation_energy_ev_per_atom": 0.027, "polymorph_energy_ev_per_atom": 0.007, "volume_a3_per_atom": 17.93, "n_ef_per_ev_fu": 3.51, "dft_energy_ev_per_atom": -7.4317}

{"formula": "BeCuAs2", "functional": "PBE", "state": "optimized geometry", "lattice": [[5.821, -0.026, -0.027], [3.856, 4.361, 0.027], [-4.807, -2.237, 2.403]], "species": ["As", "As", "Be", "Cu"], "frac_coords": [[0.692, 0.192, 0.500], [0.984, 0.984, 0.000], [0.510, 0.510, 0.000], [0.313, 0.813, 0.500]], "magnetic_moment_mub_per_fu": 0.0, "formation_energy_ev_per_atom": 0.256, "volume_a3_per_atom": 15.32, "n_ef_per_ev_fu": 1.51, "dft_energy_ev_per_atom": -4.0248}

{"formula": "Np3TaSe2O6", "functional": "PBE", "state": "optimized geometry", "lattice": [[5.463, 0.000, 0.752], [0.000, 6.534, 0.000], [0.297, -3.267, 6.004]], "species": ["Se", "Se", "O", "O", "O", "O", "O", "O", "Ta", "Np", "Np", "Np"], "frac_coords": [[0.128, 0.706, 0.413], [0.872, 0.294, 0.587], [0.665, 0.839, 0.679], [0.335, 0.161, 0.321], [0.301, 0.705, 0.879], [0.699, 0.295, 0.121], [0.699, 0.826, 0.121], [0.301, 0.174, 0.879], [0.500, 0.000, 0.000], [0.000, 0.500, 0.000], [0.500, 0.500, 0.500], [0.500, 0.000, 0.500]], "magnetic_moment_mub_per_fu": 10.0, "volume_a3_per_atom": 17.74, "n_ef_per_ev_fu": 20.22, "dft_energy_ev_per_atom": -9.4562}